1.
A relaxed structure of SrMg2Ag. Source: Alexandria via LeMat-Bulk, functional PBE-GGA.

Structure (POSCAR):
```
SrMg2Ag
1.0
-1.5854 -0.1761 3.1733
-3.0032 -1.0727 -1.5599
2.4558 -8.0130 0.7822
Ag Mg Sr
1 2 1
Cartesian
-0.4525 -6.6342 1.3933 Ag
2.2903 -7.4730 0.7294 Mg
1.3934 -4.5466 0.4438 Mg
-1.6804 -2.6277 1.0022 Sr
```

- mass density (Mg/m³) = 3.82
- E_form (meV/atom) = -94

***

2.
A relaxed structure of CaIr2Os. Source: Alexandria via LeMat-Bulk, functional PBE-GGA.

Structure (POSCAR):
```
CaIr2Os
1.0
-3.8745 -0.6821 -2.1492
0.7001 -2.7012 -0.4047
-1.9454 -2.6113 4.3359
Ca Ir Os
1 2 1
Cartesian
-2.9282 -4.5449 2.0460 Ca
-1.7902 -3.1019 4.2117 Ir
-2.4629 -1.2113 0.1492 Ir
-0.5067 -2.4041 1.6764 Os
```

- mass density (Mg/m³) = 15.41
- energy above the lowest structure with this stoichiometry (meV per atom) = 125.3
- E_form (meV/atom) = 149

***

3.
A relaxed structure of SrMnW2. Source: Alexandria via LeMat-Bulk, functional PBE-GGA.

Structure (POSCAR):
```
SrMnW2
1.0
0.0000 3.2381 3.2381
3.2381 0.0000 3.2381
3.2381 3.2381 0.0000
Sr Mn W
1 1 2
Cartesian
3.2381 3.2381 3.2381 Sr
0.0000 0.0000 0.0000 Mn
1.6190 1.6190 1.6190 W
4.8571 4.8571 4.8571 W
```

- mass density (Mg/m³) = 12.48
- energy above the lowest structure with this stoichiometry (meV per atom) = 653.8
- E_form (meV/atom) = 1445

***

4.
A relaxed structure of CrAsAu. Source: Alexandria via LeMat-Bulk, functional PBE-GGA.

Structure (POSCAR):
```
CrAsAu
1.0
-3.7393 1.1860 -0.4617
1.0316 -3.6934 -0.9467
-0.8375 -1.1894 3.7274
As Au Cr
1 1 1
Cartesian
-0.8027 -1.1401 3.5729 As
-2.4257 -0.8335 0.6085 Au
-1.1541 -2.9125 1.8650 Cr
```

- mass density (Mg/m³) = 9.95
- energy above the lowest structure with this stoichiometry (meV per atom) = 43.1
- E_form (meV/atom) = 172

***

- What is the mass density in the fourth record?
  9.95 Mg/m³

***

Repeat the fourth record exactly.
A relaxed structure of CrAsAu. Source: Alexandria via LeMat-Bulk, functional PBE-GGA.

Structure (POSCAR):
```
CrAsAu
1.0
-3.7393 1.1860 -0.4617
1.0316 -3.6934 -0.9467
-0.8375 -1.1894 3.7274
As Au Cr
1 1 1
Cartesian
-0.8027 -1.1401 3.5729 As
-2.4257 -0.8335 0.6085 Au
-1.1541 -2.9125 1.8650 Cr
```

- mass density (Mg/m³) = 9.95
- energy above the lowest structure with this stoichiometry (meV per atom) = 43.1
- E_form (meV/atom) = 172

***

- What is the E_form in the first record?
  -94 meV/atom